# 1
VASP calculation (GGA-PBE) on a geometry-optimized HfPO2F structure.

extended XYZ file:
```
5
Lattice="-2.8978 1.1567 2.1043 2.0070 -0.6437 3.1178 1.5399 4.1155 -0.1416" Properties=species:S:1:pos:R:3 pbc="T T T"
P 0.0000 0.0000 0.0000
O 1.0035 -0.3219 1.5589
O -1.4489 0.5783 1.0521
Hf 0.3246 2.3142 2.5402
F 0.7700 2.0578 -0.0708
```

Computed properties:
For the raw formation energy, the calculation gives -640 meV per atom.

# 2
VASP calculation (GGA-PBE) on a geometry-optimized HfPO2F structure.

extended XYZ file:
```
5
Lattice="3.9457 0.0000 0.0000 0.0000 3.9457 0.0000 0.0000 0.0000 5.6335" Properties=species:S:1:pos:R:3 pbc="T T T"
Hf 0.0000 0.0000 0.0000
O 1.9729 0.0000 0.0000
O 0.0000 1.9729 0.0000
P 0.0000 0.0000 2.8168
F 1.9729 1.9729 2.8168
```

Computed properties:
For the raw formation energy, the calculation gives -1331 meV per atom.

# 3
VASP calculation (GGA-PBE) on a geometry-optimized HfPO4F2 structure.

extended XYZ file:
```
16
Lattice="-4.8003 0.4666 -1.3283 -1.7672 -5.0492 4.6130 -0.6944 3.7341 3.8211" Properties=species:S:1:pos:R:3 pbc="T T T"
P -0.1702 -0.3818 0.3422
P -4.4151 -2.5602 5.4977
O -5.7704 -4.0396 2.8989
O -1.6461 -0.2114 -0.0925
O -5.3306 2.3167 2.6085
O -3.6595 -2.8584 4.1712
O -3.9804 -1.1328 5.9370
O -2.3702 1.4431 1.9572
O -5.9092 -2.4419 5.1106
O -4.9571 0.3083 0.5532
Hf -1.5807 0.1416 3.3725
Hf -4.1516 -2.9721 2.1499
F -5.5146 -1.3808 2.3303
F -2.9207 -1.1870 2.4442
F -3.2833 0.7627 4.4393
F -5.8465 0.4036 4.1563
```

Computed properties:
For the raw formation energy, the calculation gives -2594 meV per atom.

# 4
VASP calculation (GGA-PBE) on a geometry-optimized HfPbO2F structure.

extended XYZ file:
```
5
Lattice="4.4330 0.0000 0.0000 0.0000 4.4330 0.0000 0.0000 0.0000 4.4631" Properties=species:S:1:pos:R:3 pbc="T T T"
F 0.0000 0.0000 2.2316
Pb 0.0000 0.0000 0.0000
Hf 2.2165 2.2165 2.2316
O 2.2165 0.0000 0.0000
O 0.0000 2.2165 0.0000
```

Computed properties:
For the raw formation energy, the calculation gives -420 meV per atom.

# 5
VASP calculation (GGA-PBE) on a geometry-optimized HfPbOF2 structure.

extended XYZ file:
```
5
Lattice="4.5021 0.0000 0.0000 0.0000 4.5021 0.0000 0.0000 0.0000 4.4223" Properties=species:S:1:pos:R:3 pbc="T T T"
Hf 2.2510 2.2510 2.2112
Pb 0.0000 0.0000 0.0000
O 0.0000 0.0000 2.2112
F 2.2510 0.0000 0.0000
F 0.0000 2.2510 0.0000
```

Computed properties:
For the raw formation energy, the calculation gives -566 meV per atom.

# 6
VASP calculation (GGA-PBE) on a geometry-optimized HfPtO2F structure.

extended XYZ file:
```
5
Lattice="-0.9396 3.3093 2.0977 -3.9160 -0.7214 -0.6159 -0.1381 -2.3124 3.5862" Properties=species:S:1:pos:R:3 pbc="T T T"
Hf -2.4968 0.1378 2.5340
O -0.4698 1.6546 1.0488
O -1.9580 -0.3607 -0.3080
F -0.0690 -1.1562 1.7931
Pt 0.0000 0.0000 0.0000
```

Computed properties:
For the raw formation energy, the calculation gives -313 meV per atom.